Here is a geometry-optimized CsCr2NiF8 structure from Alexandria via LeMat-Bulk. Energies are from GGA+U.

Cell: 4.8533 4.8793 8.2955 Å, 91.52 91.01 94.75°
Closest atoms and distances in Å follow each position.
Space group P-1 (No. 2)
Inequivalent atoms, fractional coordinates:
Cs1 0.0000 0.0000 0.0000 (multiplicity 1)  6 F 2.85-3.04
Cr1 0.4908 0.4938 0.3175 (multiplicity 2)  5 F 1.88-2.10
Ni1 0.0000 0.0000 0.5000 (multiplicity 1)  6 F 1.97-2.19
F1 0.2219 0.1984 0.6787 (multiplicity 2)  1 Cr 1.96, 1 Ni 2.00
F2 0.2271 0.1684 0.3281 (multiplicity 2)  1 Cr 1.96, 1 Ni 1.97
F3 0.2851 0.6757 0.5074 (multiplicity 2)  2 Cr 2.03-2.10, 1 Ni 2.19
F4 0.3267 0.5912 0.1228 (multiplicity 2)  1 Cr 1.88

Values from the calculation:
**Electronic total energy**: -5.19 eV/atom
**DOS at the Fermi energy**: 5.8 states/eV per cell
**Mass density**: 3.8 g cm⁻³